InTe2Se after structural relaxation, computed with GGA-PBEsol.

CIF file:
```
data_InTe2Se
_chemical_formula_sum 'In1 Te2 Se1'
_cell_length_a 2.904
_cell_length_b 6.052
_cell_length_c 6.268
_cell_angle_alpha 90.00
_cell_angle_beta 90.00
_cell_angle_gamma 90.12
_space_group_name_H-M_alt 'P 1'
_space_group_IT_number 1
loop_
_space_group_symop_operation_xyz
'x,y,z'
loop_
_atom_site_label
_atom_site_fract_x
_atom_site_fract_y
_atom_site_fract_z
Te1 0.994 0.754 0.000
Te2 0.006 0.246 0.000
In1 0.500 0.000 0.500
Se1 0.500 0.500 0.500
```

=====

In2TeSe after structural relaxation, computed with GGA-PBEsol.

CIF file:
```
data_In2TeSe
_chemical_formula_sum 'In2 Te1 Se1'
_cell_length_a 3.000
_cell_length_b 5.940
_cell_length_c 6.035
_cell_angle_alpha 90.00
_cell_angle_beta 90.00
_cell_angle_gamma 90.00
_space_group_name_H-M_alt 'P 1'
_space_group_IT_number 1
loop_
_space_group_symop_operation_xyz
'x,y,z'
loop_
_atom_site_label
_atom_site_fract_x
_atom_site_fract_y
_atom_site_fract_z
Se1 0.000 0.000 0.375
Te1 0.500 0.500 0.875
In1 0.000 0.000 0.875
In2 0.500 0.500 0.375
```

Calculated values
Polymorph energy (0 for the lowest one) = 211.9 meV/atom

=====

In2TeSe after structural relaxation, computed with GGA-PBEsol.

CIF file:
```
data_In2TeSe
_chemical_formula_sum 'In2 Te1 Se1'
_cell_length_a 4.206
_cell_length_b 4.206
_cell_length_c 6.122
_cell_angle_alpha 90.00
_cell_angle_beta 90.00
_cell_angle_gamma 90.00
_space_group_name_H-M_alt 'P 1'
_space_group_IT_number 1
loop_
_space_group_symop_operation_xyz
'x,y,z'
loop_
_atom_site_label
_atom_site_fract_x
_atom_site_fract_y
_atom_site_fract_z
Se1 0.000 0.000 0.366
In1 0.000 0.000 0.909
In2 0.500 0.500 0.365
Te1 0.500 0.500 0.860
```

Calculated values
Polymorph energy (0 for the lowest one) = 0.0 meV/atom

=====

The evaluated energy relative to the elements, uncorrected for the records listed, in turn: 140; -127; -339 meV per atom.
The evaluated total moment for the records listed, in turn: 0.00; 0.00; 0.00 μB per cell.